A plane-wave DFT calculation with PBE was carried out for Th2BiSe after structural relaxation.

Computed properties:
As for the distance to the lowest polymorph of the same formula: 12.17 kJ per mole of atoms. The calculation puts the volume at 27.69 Å³/atom. Its energy relative to the elements, uncorrected is -0.93 eV/atom. The total magnetization is 0.00 μB/cell.

Unit cell a=5.390 b=5.390 c=5.390 alpha=60.00 beta=60.00 gamma=60.00
Fractional positions:
Se  0.500  0.500  0.500
Bi  0.000  0.000  0.000
Th  0.250  0.250  0.250
Th  0.750  0.750  0.750